A relaxed structure of Sc3Ni5H12. Source: Alexandria via LeMat-Bulk, functional PBE.

a b c (Å): 10.7745 10.7745 10.7745
angles (deg): 90.00 90.00 90.00
Space group Ia-3d (No. 230)
Symmetry-distinct sites (fractional):
Sc1 0.0000 0.2500 0.1250
Ni1 0.0000 0.0000 0.0000
Ni2 0.0000 0.2500 0.3750
H1 0.0283 0.0536 0.6462

Summary:
N(E_F) = 64.98 states/eV/cell
uncorrected energy = -4.6995 eV per atom
size of the total moment = 0.00 μB/f.u.